(1)
Below is a geometry-optimized RbMo2Se structure, with properties calculated at the GGA-PBE level.

Structure (POSCAR):
```
RbMo2Se
1.0
6.654 0.000 0.000
0.000 6.654 0.000
0.000 0.000 6.654
Rb Mo Se
4 8 4
direct
0.000 0.000 0.000
0.000 0.500 0.500
0.500 0.000 0.500
0.500 0.500 0.000
0.250 0.250 0.250
0.250 0.250 0.750
0.250 0.750 0.250
0.250 0.750 0.750
0.750 0.250 0.250
0.750 0.250 0.750
0.750 0.750 0.250
0.750 0.750 0.750
0.000 0.000 0.500
0.000 0.500 0.000
0.500 0.000 0.000
0.500 0.500 0.500
```

Symmetry: Fm-3m
Polymorph energy (0 for the lowest one), meV/atom: 798
Calculated density, g cm⁻³: 8.0
Uncorrected formation energy, eV per atom: 1.7140

=====

(2)
Below is a geometry-optimized Rb3MoSe structure, with properties calculated at the GGA-PBE level.

Structure (POSCAR):
```
Rb3MoSe
1.0
6.613 0.000 0.000
0.000 6.613 0.000
0.000 0.000 6.613
Rb Mo Se
3 1 1
direct
0.000 0.000 0.500
0.000 0.500 0.000
0.500 0.000 0.000
0.500 0.500 0.500
0.000 0.000 0.000
```

Symmetry: Pm-3m
Polymorph energy (0 for the lowest one), meV/atom: 0
Calculated density, g cm⁻³: 2.5
Uncorrected formation energy, eV per atom: 0.4367

=====

(3)
Below is a geometry-optimized RbMo6Se8 structure, with properties calculated at the GGA-PBE level.

Structure (POSCAR):
```
RbMo6Se8
1.0
4.902 2.830 4.155
-4.902 2.830 4.155
0.000 -5.660 4.155
Rb Mo Se
1 6 8
direct
0.000 0.000 0.000
0.248 0.418 0.565
0.418 0.565 0.248
0.435 0.752 0.582
0.565 0.248 0.418
0.582 0.435 0.752
0.752 0.582 0.435
0.118 0.734 0.400
0.251 0.251 0.251
0.266 0.600 0.882
0.400 0.118 0.734
0.600 0.882 0.266
0.734 0.400 0.118
0.749 0.749 0.749
0.882 0.266 0.600
```

Symmetry: R-3
Calculated density, g cm⁻³: 6.2
Uncorrected formation energy, eV per atom: -0.6076